VASP calculation (PBE) on a relaxed structure of LiNdCd2Pd4.

Cell: 4.646 4.646 8.383 Å, 73.91 73.91 60.00°
Fractional positions:
Cd (0.757, 0.757, 0.729)
Cd (0.243, 0.243, 0.271)
Li (0.500, 0.500, 0.500)
Pd (0.874, 0.874, 0.378)
Pd (0.393, 0.393, 0.822)
Pd (0.126, 0.126, 0.622)
Pd (0.607, 0.607, 0.178)
Nd (0.000, 0.000, 0.000)

## Properties
SG: R-3m
Formation energy from the elements (eV per atom): -0.532